w.
# VAu2Br

A relaxed VAu2Br crystal (PBE, Alexandria).

Computed properties:
Calculated density (g/cm3): 11.02

```
data_VAu2Br
_cell_length_a 6.813
_cell_length_b 6.813
_cell_length_c 6.813
_cell_angle_alpha 90.00
_cell_angle_beta 90.00
_cell_angle_gamma 90.00
_symmetry_space_group_name_H-M 'F m -3 m'
_symmetry_Int_Tables_number 225
_symmetry_space_group_name_Hall '-F 4 2 3'
loop_
_atom_site_label
_atom_site_fract_x
_atom_site_fract_y
_atom_site_fract_z
V1 0.000 0.000 0.000
Au1 0.250 0.250 0.250
Br1 0.000 0.000 0.500
```


x.
# VAu2Br

A relaxed VAu2Br crystal (PBE, Alexandria).

Computed properties:
Calculated density (g/cm3): 10.11

```
data_VAu2Br
_cell_length_a 8.105
_cell_length_b 8.105
_cell_length_c 5.249
_cell_angle_alpha 90.00
_cell_angle_beta 90.00
_cell_angle_gamma 90.00
_symmetry_space_group_name_H-M 'I -4 2 d'
_symmetry_Int_Tables_number 122
_symmetry_space_group_name_Hall 'I -4 2bw'
loop_
_atom_site_label
_atom_site_fract_x
_atom_site_fract_y
_atom_site_fract_z
V1 0.000 0.000 0.000
Au1 0.217 0.750 0.125
Br1 0.000 0.000 0.500
```


Which of them is the most stable? Correct choice: x.


w.
# WAu2Br

A relaxed WAu2Br crystal (PBE, Alexandria).

Computed properties:
Calculated density (g/cm3): 12.62

```
data_WAu2Br
_cell_length_a 8.001
_cell_length_b 8.001
_cell_length_c 5.406
_cell_angle_alpha 90.00
_cell_angle_beta 90.00
_cell_angle_gamma 90.00
_symmetry_space_group_name_H-M 'I -4 2 d'
_symmetry_Int_Tables_number 122
_symmetry_space_group_name_Hall 'I -4 2bw'
loop_
_atom_site_label
_atom_site_fract_x
_atom_site_fract_y
_atom_site_fract_z
W1 0.000 0.000 0.000
Au1 0.216 0.250 0.125
Br1 0.000 0.000 0.500
```


x.
# WAu2Br

A relaxed WAu2Br crystal (PBE, Alexandria).

Computed properties:
Calculated density (g/cm3): 14.25

```
data_WAu2Br
_cell_length_a 3.093
_cell_length_b 4.982
_cell_length_c 9.949
_cell_angle_alpha 90.00
_cell_angle_beta 90.00
_cell_angle_gamma 90.00
_symmetry_space_group_name_H-M 'C m m m'
_symmetry_Int_Tables_number 65
_symmetry_space_group_name_Hall '-C 2 2'
loop_
_atom_site_label
_atom_site_fract_x
_atom_site_fract_y
_atom_site_fract_z
W1 0.000 0.000 0.000
Au1 0.000 0.500 0.231
Br1 0.000 0.000 0.500
```


Which of them is the most stable? Correct choice: x.


w.
# WAu2Br

A relaxed WAu2Br crystal (PBE, Alexandria).

Computed properties:
Calculated density (g/cm3): 13.86

```
data_WAu2Br
_cell_length_a 3.997
_cell_length_b 3.997
_cell_length_c 4.931
_cell_angle_alpha 90.00
_cell_angle_beta 90.00
_cell_angle_gamma 90.00
_symmetry_space_group_name_H-M 'P 4/m m m'
_symmetry_Int_Tables_number 123
_symmetry_space_group_name_Hall '-P 4 2'
loop_
_atom_site_label
_atom_site_fract_x
_atom_site_fract_y
_atom_site_fract_z
W1 0.000 0.000 0.000
Au1 0.000 0.500 0.500
Br1 0.500 0.500 0.000
```


x.
# WAu2Br

A relaxed WAu2Br crystal (PBE, Alexandria).

Computed properties:
Calculated density (g/cm3): 13.38

```
data_WAu2Br
_cell_length_a 2.918
_cell_length_b 4.640
_cell_length_c 12.058
_cell_angle_alpha 90.00
_cell_angle_beta 90.00
_cell_angle_gamma 90.00
_symmetry_space_group_name_H-M 'I m m m'
_symmetry_Int_Tables_number 71
_symmetry_space_group_name_Hall '-I 2 2'
loop_
_atom_site_label
_atom_site_fract_x
_atom_site_fract_y
_atom_site_fract_z
W1 0.000 0.000 0.000
Au1 0.000 0.500 0.300
Br1 0.000 0.000 0.500
```


Which of them is the most stable? Correct choice: x.


w.
# WAu2Br

A relaxed WAu2Br crystal (PBE, Alexandria).

Computed properties:
Calculated density (g/cm3): 14.60

```
data_WAu2Br
_cell_length_a 5.421
_cell_length_b 9.524
_cell_length_c 2.898
_cell_angle_alpha 90.00
_cell_angle_beta 90.00
_cell_angle_gamma 90.00
_symmetry_space_group_name_H-M 'C m m m'
_symmetry_Int_Tables_number 65
_symmetry_space_group_name_Hall '-C 2 2'
loop_
_atom_site_label
_atom_site_fract_x
_atom_site_fract_y
_atom_site_fract_z
W1 0.000 0.000 0.000
Au1 0.250 0.250 0.500
Br1 0.000 0.500 0.000
```


x.
# WAu2Br

A relaxed WAu2Br crystal (PBE, Alexandria).

Computed properties:
Calculated density (g/cm3): 11.88

```
data_WAu2Br
_cell_length_a 2.939
_cell_length_b 4.543
_cell_length_c 13.768
_cell_angle_alpha 90.00
_cell_angle_beta 90.00
_cell_angle_gamma 90.00
_symmetry_space_group_name_H-M 'I m m 2'
_symmetry_Int_Tables_number 44
loop_
_symmetry_equiv_pos_as_xyz
'x,y,z'
'-x,-y,z'
'-x,y,z'
'x,-y,z'
'x+1/2,y+1/2,z+1/2'
'-x+1/2,-y+1/2,z+1/2'
'-x+1/2,y+1/2,z+1/2'
'x+1/2,-y+1/2,z+1/2'
loop_
_atom_site_label
_atom_site_fract_x
_atom_site_fract_y
_atom_site_fract_z
W1 0.000 0.000 0.000
Au1 0.000 0.000 0.550
Au2 0.000 0.500 0.675
Br1 0.000 0.500 0.348
```


y.
# WAu2Br

A relaxed WAu2Br crystal (PBE, Alexandria).

Computed properties:
Calculated density (g/cm3): 13.76

```
data_WAu2Br
_cell_length_a 3.013
_cell_length_b 3.013
_cell_length_c 8.740
_cell_angle_alpha 90.00
_cell_angle_beta 90.00
_cell_angle_gamma 90.00
_symmetry_space_group_name_H-M 'P 4 m m'
_symmetry_Int_Tables_number 99
loop_
_symmetry_equiv_pos_as_xyz
'x,y,z'
'-y,x,z'
'-x,-y,z'
'y,-x,z'
'-x,y,z'
'y,x,z'
'x,-y,z'
'-y,-x,z'
loop_
_atom_site_label
_atom_site_fract_x
_atom_site_fract_y
_atom_site_fract_z
W1 0.000 0.000 0.000
Au1 0.000 0.000 0.442
Au2 0.500 0.500 0.211
Br1 0.500 0.500 0.807
```


z.
# WAu2Br

A relaxed WAu2Br crystal (PBE, Alexandria).

Computed properties:
Calculated density (g/cm3): 13.86

```
data_WAu2Br
_cell_length_a 3.0862
_cell_length_b 3.0862
_cell_length_c 28.6626
_cell_angle_alpha 90.00
_cell_angle_beta 90.00
_cell_angle_gamma 120.00
_symmetry_space_group_name_H-M 'R 3 m'
_symmetry_Int_Tables_number 160
_symmetry_space_group_name_Hall 'R 3 -2"'
loop_
_atom_site_label
_atom_site_fract_x
_atom_site_fract_y
_atom_site_fract_z
W1 0.0000 0.0000 0.0000
Au1 0.0000 0.0000 0.2581
Au2 0.0000 0.0000 0.5123
Br1 0.0000 0.0000 0.7330
```


Which of them is the most stable? Correct choice: z.